! Th2CuSi3Pt12, optimized geometry, DFT PBE; values from VASP
! Calculated density in Mg/m³: 13.90
! Formation energy without anion corrections in meV per atom: -552
! Density of states at the Fermi level in states/eV/cell: 6.86
! VASP energy in eV per atom: -6.54
&SYSTEM
  ibrav = 0, nat = 18, ntyp = 4
/
ATOMIC_SPECIES
Pt 195.08 Pt.upf
Si 28.09 Si.upf
Th 232.04 Th.upf
Cu 63.55 Cu.upf
CELL_PARAMETERS angstrom
7.634 -0.332 -0.235
3.482 6.802 -0.235
3.482 2.027 6.497
ATOMIC_POSITIONS crystal
Pt 0.893 0.358 0.358
Pt 0.371 0.870 0.870
Pt 0.130 0.629 0.130
Pt 0.358 0.893 0.358
Pt 0.107 0.642 0.642
Pt 0.629 0.130 0.130
Pt 0.870 0.870 0.371
Pt 0.870 0.371 0.870
Pt 0.642 0.642 0.107
Pt 0.642 0.107 0.642
Pt 0.358 0.358 0.893
Pt 0.130 0.130 0.629
Si 0.500 0.000 0.000
Si 0.000 0.000 0.500
Si 0.000 0.500 0.000
Th 0.381 0.381 0.381
Th 0.619 0.619 0.619
Cu 0.000 0.000 0.000